1.
A plane-wave DFT calculation with PBE was carried out for a relaxed structure of CaYRu2.

Cell: 5.328 5.328 5.328 Å, 140.66 122.52 71.88°
Sites, in units of the cell vectors:
1 Y 0.750 0.250 0.500
2 Ru 0.997 0.997 0.000
3 Ru 0.503 0.503 0.000
4 Ca 0.250 0.750 0.500

## Properties
ΔE_f	299	meV/atom
symmetry	Immm, No. 71
magnetic moment	0.0	μB/cell
crystal system	orthorhombic


2.
A plane-wave DFT calculation with PBE was carried out for a relaxed structure of CaYRu2.

Cell: 5.903 5.903 4.771 Å, 66.17 66.17 32.50°
Sites, in units of the cell vectors:
1 Y 0.484 0.484 0.515
2 Ru 0.025 0.025 0.974
3 Ru 0.726 0.726 0.775
4 Ca 0.264 0.264 0.236

## Properties
ΔE_f	73	meV/atom
symmetry	Imm2, No. 44
magnetic moment	0.0	μB/cell
crystal system	orthorhombic


3.
A plane-wave DFT calculation with PBE was carried out for a relaxed structure of Ca2YRu.

Cell: 8.263 8.263 8.263 Å, 156.06 147.37 40.88°
Sites, in units of the cell vectors:
1 Y 0.250 0.750 0.500
2 Ru 0.750 0.250 0.500
3 Ca 0.911 0.911 0.000
4 Ca 0.589 0.589 0.000

## Properties
ΔE_f	37	meV/atom
polymorph energy (0 for the lowest one)	0.000	kcal/mol of atoms
symmetry	Immm, No. 71
magnetic moment	0.0	μB/cell
crystal system	orthorhombic


4.
A plane-wave DFT calculation with PBE was carried out for a relaxed structure of Ca3YRu.

Cell: 5.468 5.468 5.468 Å, 90.00 90.00 90.00°
Sites, in units of the cell vectors:
1 Y 0.500 0.500 0.500
2 Ru 0.000 0.000 0.000
3 Ca 0.000 0.500 0.000
4 Ca 0.000 0.000 0.500
5 Ca 0.500 0.000 0.000

## Properties
ΔE_f	302	meV/atom
polymorph energy (0 for the lowest one)	0.000	kcal/mol of atoms
symmetry	Pm-3m, No. 221
magnetic moment	0.0	μB/cell
crystal system	cubic


5.
A plane-wave DFT calculation with PBE was carried out for a relaxed structure of CaY2Ru.

Cell: 3.454 3.456 10.172 Å, 70.18 90.00 90.00°
Sites, in units of the cell vectors:
1 Y 0.000 0.079 0.922
2 Y 0.000 0.421 0.578
3 Ru 0.500 0.750 0.750
4 Ca 0.500 0.250 0.250

## Properties
ΔE_f	-207	meV/atom
polymorph energy (0 for the lowest one)	0.000	kcal/mol of atoms
symmetry	P4/mmm, No. 123
magnetic moment	0.0	μB/cell
crystal system	tetragonal


6.
A plane-wave DFT calculation with PBE was carried out for a relaxed structure of CaY3Ru.

Cell: 14.568 9.366 9.366 Å, 102.82 133.48 46.52°
Sites, in units of the cell vectors:
1 Y 0.389 0.251 0.445
2 Y 0.111 0.945 0.751
3 Y 0.611 0.749 0.555
4 Y 0.889 0.055 0.249
5 Y 0.101 0.252 0.999
6 Y 0.399 0.499 0.752
7 Y 0.899 0.748 0.001
8 Y 0.601 0.501 0.248
9 Y 0.464 0.056 0.803
10 Y 0.036 0.303 0.556
11 Y 0.536 0.944 0.197
12 Y 0.964 0.697 0.444
13 Ru 0.111 0.347 0.323
14 Ru 0.389 0.823 0.847
15 Ru 0.889 0.653 0.677
16 Ru 0.611 0.177 0.153
17 Ca 0.750 0.122 0.622
18 Ca 0.250 0.878 0.378
19 Ca 0.750 0.484 0.984
20 Ca 0.250 0.516 0.016

## Properties
ΔE_f	-30	meV/atom
polymorph energy (0 for the lowest one)	3.619	kcal/mol of atoms
symmetry	C2/c, No. 15
magnetic moment	0.0	μB/cell
crystal system	monoclinic


Q: Which value of magnetic moment does entry 5 give?
A: 0.0 μB/cell